1.
VASP calculation (PBE) on NaTb2Zn after structural relaxation.

```
NaTb2Zn
1.0
3.593 0.000 0.000
0.000 3.593 0.000
0.000 0.000 8.812
Na Tb Zn
1 2 1
direct
0.000 0.000 0.000 Na
0.500 0.500 0.308 Tb
0.500 0.500 0.692 Tb
0.000 0.000 0.500 Zn
```

## Properties
E_form: -29 meV per atom
energy above the most stable polymorph in this dataset: 0.0 meV per atom
V: 28.4 A^3/atom
space-group type: P4/mmm


2.
VASP calculation (PBE) on CaCuSe2 after structural relaxation.

```
CaCuSe2
1.0
3.595 0.000 0.000
0.000 3.978 0.000
0.000 0.000 6.575
Ca Cu Se
1 1 2
direct
0.000 0.000 0.000 Ca
0.000 0.500 0.500 Cu
0.500 0.500 0.246 Se
0.500 0.500 0.754 Se
```

## Properties
formation energy (no corrections): -3.5 eV/f.u.
V: 23.5 A^3/atom
space-group type: Pmmm


3.
VASP calculation (PBE) on RbBeInBr4 after structural relaxation.

```
RbBeInBr4
1.0
7.241 0.000 0.000
0.000 7.281 0.000
-2.653 0.000 9.421
Rb Be In Br
2 2 2 8
direct
0.222 0.250 0.036 Rb
0.778 0.750 0.964 Rb
0.188 0.750 0.772 Be
0.812 0.250 0.228 Be
0.260 0.250 0.551 In
0.740 0.750 0.449 In
0.003 0.008 0.288 Br
0.003 0.492 0.288 Br
0.308 0.750 0.004 Br
0.405 0.750 0.655 Br
0.595 0.250 0.345 Br
0.692 0.250 0.996 Br
0.997 0.508 0.712 Br
0.997 0.992 0.712 Br
```

## Properties
formation energy (no corrections): -8.1 eV/f.u.
V: 35.5 A^3/atom
space-group type: P2_1/m


4.
VASP calculation (PBE) on BaNb2N after structural relaxation.

```
BaNb2N
1.0
0.000 4.662 4.662
4.662 0.000 4.662
4.662 4.662 0.000
Ba Nb N
2 4 2
direct
0.125 0.125 0.125 Ba
0.875 0.875 0.875 Ba
0.000 0.500 0.500 Nb
0.500 0.000 0.500 Nb
0.500 0.500 0.000 Nb
0.500 0.500 0.500 Nb
0.375 0.375 0.375 N
0.625 0.625 0.625 N
```

## Properties
formation energy (no corrections): 0.3 eV/f.u.
V: 25.3 A^3/atom
space-group type: Fd-3m


5.
VASP calculation (PBE) on SnAs2CBr after structural relaxation.

```
SnAs2CBr
1.0
5.393 0.000 0.000
0.000 5.393 0.000
0.000 0.000 5.468
Sn As C Br
1 2 1 1
direct
0.000 0.000 0.000 Sn
0.000 0.500 0.000 As
0.500 0.000 0.000 As
0.500 0.500 0.500 C
0.000 0.000 0.500 Br
```

## Properties
energy above the most stable polymorph in this dataset: 949.0 meV per atom
formation energy (no corrections): 9.7 eV/f.u.
V: 31.8 A^3/atom
space-group type: P4/mmm


6.
VASP calculation (PBE) on Tc4AuSe after structural relaxation.

```
Tc4AuSe
1.0
0.000 3.677 3.677
3.677 0.000 3.677
3.677 3.677 0.000
Tc Au Se
4 1 1
direct
0.125 0.125 0.125 Tc
0.125 0.125 0.626 Tc
0.125 0.626 0.125 Tc
0.626 0.125 0.125 Tc
0.750 0.750 0.750 Au
0.500 0.500 0.500 Se
```

## Properties
formation energy (no corrections): 4.0 eV/f.u.
V: 16.6 A^3/atom
space-group type: F-43m


7.
VASP calculation (PBE) on RbAg2F after structural relaxation.

```
RbAg2F
1.0
1.711 0.988 9.667
-1.711 0.988 9.667
0.000 -1.976 9.667
Rb Ag F
1 2 1
direct
0.000 0.000 0.000 Rb
0.111 0.111 0.111 Ag
0.889 0.889 0.889 Ag
0.500 0.500 0.500 F
```

## Properties
energy above the most stable polymorph in this dataset: 306.9 meV per atom
formation energy (no corrections): -0.6 eV/f.u.
V: 24.5 A^3/atom
space-group type: R-3m


8.
VASP calculation (PBE) on Tb5TeAs4 after structural relaxation.

```
Tb5TeAs4
1.0
-2.086 2.967 10.499
2.086 -2.967 10.499
2.086 2.967 -10.499
Tb Te As
5 1 4
direct
0.000 0.000 0.000 Tb
0.199 0.199 0.000 Tb
0.389 0.389 0.000 Tb
0.611 0.611 0.000 Tb
0.801 0.801 0.000 Tb
0.500 0.000 0.500 Te
0.099 0.599 0.500 As
0.297 0.797 0.500 As
0.703 0.203 0.500 As
0.901 0.401 0.500 As
```

## Properties
formation energy (no corrections): -15.3 eV/f.u.
V: 26.0 A^3/atom
space-group type: Immm


9.
VASP calculation (PBE) on P4Ru after structural relaxation.

```
P4Ru
1.0
4.711 0.000 0.000
0.000 4.705 0.000
-1.172 0.000 7.056
P Ru
8 2
direct
0.121 0.150 0.411 P
0.121 0.350 0.911 P
0.286 0.692 0.751 P
0.286 0.808 0.251 P
0.714 0.192 0.749 P
0.714 0.308 0.249 P
0.879 0.650 0.089 P
0.879 0.850 0.589 P
0.500 0.000 0.000 Ru
0.500 0.500 0.500 Ru
```

## Properties
E_form: -431 meV per atom
energy above the most stable polymorph in this dataset: 15.9 meV per atom
V: 15.6 A^3/atom
space-group type: P2_1/c


10.
VASP calculation (PBE) on TbSiHRh2 after structural relaxation.

```
TbSiHRh2
1.0
1.853 -5.388 0.000
1.853 5.388 0.000
0.000 0.000 7.180
Tb Si H Rh
2 2 2 4
direct
0.053 0.947 0.750 Tb
0.947 0.053 0.250 Tb
0.226 0.774 0.250 Si
0.774 0.226 0.750 Si
0.500 0.500 0.000 H
0.500 0.500 0.500 H
0.343 0.657 0.553 Rh
0.343 0.657 0.947 Rh
0.657 0.343 0.053 Rh
0.657 0.343 0.447 Rh
```

## Properties
V: 14.3 A^3/atom
space-group type: Cmcm


11.
VASP calculation (PBE) on NaRe2Ru2 after structural relaxation.

```
NaRe2Ru2
1.0
7.741 0.000 0.000
0.000 7.741 0.000
0.000 0.000 2.720
Na Re Ru
2 4 4
direct
0.000 0.000 0.000 Na
0.500 0.500 0.000 Na
0.161 0.339 0.500 Re
0.339 0.839 0.500 Re
0.661 0.161 0.500 Re
0.839 0.661 0.500 Re
0.128 0.628 0.000 Ru
0.372 0.128 0.000 Ru
0.628 0.872 0.000 Ru
0.872 0.372 0.000 Ru
```

## Properties
E_form: 362 meV per atom
V: 16.3 A^3/atom
space-group type: P4/mbm


VASP energy, record by record: -11.97; -16.58; -44.40; -60.21; -14.49; -44.21; -9.10; -60.16; -66.14; -64.95; -85.91 eV/cell